Material: TlSi2S
Method: DFT, GGA-PBE
State: relaxed

a = 6.779 Å, b = 6.779 Å, c = 6.779 Å
α = 90.00°, β = 90.00°, γ = 90.00°
Space group Fm-3m (No. 225)
Symmetry-distinct sites (fractional):
Tl: 0.000 0.000 0.000
Si: 0.250 0.250 0.250
S: 0.000 0.000 0.500

Values from the calculation:
**Raw formation energy**: 0.72 eV per atom
**Calculated total energy**: -3.614 eV per atom